No. 1
Here is crystalline Ti2FeHIr at its relaxed geometry from Alexandria via LeMat-Bulk. Energies are from PBE.

Computed properties:
- density of states at the Fermi level (states/eV per atom) = 0.630
- total moment (μB/f.u.) = 0.0
- total energy (eV/cell) = -39.2

Cell lengths 4.145, 4.145, 3.396 Å; angles 90.00, 90.00, 90.00 degrees
Space group P4/mmm (No. 123)
One atom of each set of equivalent atoms:
Ti (0.000, 0.500, 0.000) x2
Fe (0.000, 0.000, 0.500) x1
H (0.000, 0.000, 0.000) x1
Ir (0.500, 0.500, 0.500) x1

=====

No. 2
Here is crystalline Ac5La2NdHo at its relaxed geometry from Alexandria via LeMat-Bulk. Energies are from PBE.

Computed properties:
- density of states at the Fermi level (states/eV per atom) = 1.589
- total moment (μB/f.u.) = 0.0
- ΔH_f (0 K) (eV/atom) = 0.2611

Cell lengths 8.484, 8.484, 20.768 Å; angles 90.00, 90.00, 90.00 degrees
Space group I4/mcm (No. 140)
One atom of each set of equivalent atoms:
Ac (0.000, 0.000, 0.000) x4
Ac (0.230, 0.270, 0.139) x16
La (0.122, 0.378, 0.500) x8
Nd (0.000, 0.000, 0.250) x4
Ho (0.000, 0.500, 0.250) x4

=====

No. 3
Here is crystalline TbErZnCo at its relaxed geometry from Alexandria via LeMat-Bulk. Energies are from PBE.

Computed properties:
- density of states at the Fermi level (states/eV per atom) = 0.727
- total moment (μB/f.u.) = 0.0
- ΔH_f (0 K) (eV/atom) = -0.2369
- excess energy over the best structure of this formula in the dataset (meV/atom) = 4.0

Cell lengths 6.871, 6.871, 6.871 Å; angles 90.00, 90.00, 90.00 degrees
Space group F-43m (No. 216)
One atom of each set of equivalent atoms:
Tb (0.000, 0.000, 0.000) x4
Er (0.000, 0.000, 0.500) x4
Zn (0.250, 0.250, 0.250) x4
Co (0.250, 0.250, 0.750) x4

=====

No. 4
Here is crystalline Al2SiS at its relaxed geometry from Alexandria via LeMat-Bulk. Energies are from PBE.

Computed properties:
- density of states at the Fermi level (states/eV per atom) = 0.000
- total moment (μB/f.u.) = 0.0
- excess energy over the best structure of this formula in the dataset (meV/atom) = 0.0
- ΔE_f (raw) (eV/atom) = -0.359

Cell lengths 5.578, 5.578, 11.325 Å; angles 90.00, 90.00, 90.00 degrees
Space group I-42d (No. 122)
One atom of each set of equivalent atoms:
Al (0.247, 0.250, 0.125) x8
Si (0.000, 0.000, 0.000) x4
S (0.000, 0.000, 0.500) x4

=====

Question: Look up the density of states at the Fermi level of the fourth one.
Answer: 0.000 states/eV per atom

=====

Question: What is the density of states at the Fermi level in the second record?
Answer: 1.589 states/eV per atom